Here is an optimized crystal structure of NdEuTh from the Alexandria database. Energies are from GGA-PBE.

The structure belongs to space group P3m1 (No. 156); the cell edges are 3.6618, 3.6618 and 9.1306 Å and the angles 90.00°, 90.00° and 120.00°. The inequivalent atoms are Nd at (0.0000, 0.0000, 0.0000), Eu at (0.6667, 0.3333, 0.3579) and Th at (0.3333, 0.6667, 0.6882).

The energy above the lowest structure with this stoichiometry comes out at 0 meV per atom. For the formation energy, the calculation gives 80 meV/atom. For the density of states at the Fermi level, the calculation gives 4.23 states/eV/f.u. The value obtained for the mass density is 8.3 g cm⁻³. Its uncorrected energy is -22.22 eV per cell.